## w
# VSOF2 | the Alexandria database | GGA+U | optimized geometry
# - M_tot (μB/atom) = 0.200
data_VSOF2
_cell_length_a 4.1830
_cell_length_b 4.1830
_cell_length_c 3.7425
_cell_angle_alpha 90.00
_cell_angle_beta 90.00
_cell_angle_gamma 90.00
_symmetry_space_group_name_H-M 'P 4/m m m'
_symmetry_Int_Tables_number 123
_symmetry_space_group_name_Hall '-P 4 2'
loop_
_atom_site_label
_atom_site_type_symbol
_atom_site_fract_x
_atom_site_fract_y
_atom_site_fract_z
V1 V 0.0000 0.0000 0.0000
S1 S 0.5000 0.5000 0.5000
O1 O 0.0000 0.0000 0.5000
F1 F 0.0000 0.5000 0.0000


## x
# VSOF2 | the Alexandria database | GGA+U | optimized geometry
# - M_tot (μB/atom) = 0.691
data_VSOF2
_cell_length_a 4.6821
_cell_length_b 4.6821
_cell_length_c 3.4180
_cell_angle_alpha 90.00
_cell_angle_beta 90.00
_cell_angle_gamma 90.00
_symmetry_space_group_name_H-M 'P 4/m m m'
_symmetry_Int_Tables_number 123
_symmetry_space_group_name_Hall '-P 4 2'
loop_
_atom_site_label
_atom_site_type_symbol
_atom_site_fract_x
_atom_site_fract_y
_atom_site_fract_z
V1 V 0.0000 0.0000 0.0000
S1 S 0.5000 0.5000 0.5000
O1 O 0.5000 0.5000 0.0000
F1 F 0.0000 0.5000 0.5000


Result of the stability comparison: x is the least stable of them.


## w
# WSOF2 | the Alexandria database | GGA+U | optimized geometry
# - M_tot (μB/atom) = 0.783
data_WSOF2
_cell_length_a 4.2974
_cell_length_b 4.2974
_cell_length_c 3.9390
_cell_angle_alpha 90.00
_cell_angle_beta 90.00
_cell_angle_gamma 90.00
_symmetry_space_group_name_H-M 'P 4/m m m'
_symmetry_Int_Tables_number 123
_symmetry_space_group_name_Hall '-P 4 2'
loop_
_atom_site_label
_atom_site_type_symbol
_atom_site_fract_x
_atom_site_fract_y
_atom_site_fract_z
W1 W 0.0000 0.0000 0.0000
S1 S 0.5000 0.5000 0.5000
O1 O 0.0000 0.0000 0.5000
F1 F 0.0000 0.5000 0.0000


## x
# WSOF2 | the Alexandria database | GGA+U | optimized geometry
# - M_tot (μB/atom) = 0.880
data_WSOF2
_cell_length_a 4.7958
_cell_length_b 4.7958
_cell_length_c 3.4317
_cell_angle_alpha 90.00
_cell_angle_beta 90.00
_cell_angle_gamma 90.00
_symmetry_space_group_name_H-M 'P 4/m m m'
_symmetry_Int_Tables_number 123
_symmetry_space_group_name_Hall '-P 4 2'
loop_
_atom_site_label
_atom_site_type_symbol
_atom_site_fract_x
_atom_site_fract_y
_atom_site_fract_z
W1 W 0.0000 0.0000 0.0000
S1 S 0.5000 0.5000 0.5000
O1 O 0.5000 0.5000 0.0000
F1 F 0.0000 0.5000 0.5000


Result of the stability comparison: x is the least stable of them.